First-principles (PBE) data for a relaxed structure of CsBaNa4, as listed in the Alexandria database.

Cell lengths 6.2272, 6.2272, 9.8373 Å; angles 90.00, 90.00, 120.00 degrees
Last column: nearest neighbours and their distance in Å.
Positions (direct):
Cs (0.0000, 0.0000, 0.0000)  12 Na 4.66, 2 Ba 4.92
Ba (0.0000, 0.0000, 0.5000)  12 Na 4.09
Na (0.3333, 0.6667, 0.3017)  4 Na 3.60-3.90
Na (0.3333, 0.6667, 0.6983)  4 Na 3.60-3.90
Na (0.6667, 0.3333, 0.3017)  4 Na 3.60-3.90
Na (0.6667, 0.3333, 0.6983)  4 Na 3.60-3.90

Calculated values
energy of formation: 32.0 meV per atom
electronic total energy: -7.861 eV per cell
E above lowest polymorph: 0.000 eV per atom

=====

First-principles (PBE) data for a relaxed structure of CePmGaPd, as listed in the Alexandria database.

Cell lengths 5.1464, 5.1464, 5.1464 Å; angles 60.00, 60.00, 60.00 degrees
Last column: nearest neighbours and their distance in Å.
Positions (direct):
Ce (0.0000, 0.0000, 0.0000)  4 Pd 3.15, 4 Ga 3.15
Pm (0.5000, 0.5000, 0.5000)  4 Ga 3.15, 4 Pd 3.15
Ga (0.2500, 0.2500, 0.2500)  4 Pm 3.15, 4 Ce 3.15
Pd (0.7500, 0.7500, 0.7500)  4 Pm 3.15, 4 Ce 3.15

Calculated values
energy of formation: -538.5 meV per atom
electronic total energy: -21.058 eV per cell

=====

First-principles (PBE) data for a relaxed structure of Nd3Dy2Er3, as listed in the Alexandria database.

Cell lengths 10.7541, 10.7541, 10.7541 Å; angles 152.85, 152.72, 38.87 degrees
Last column: nearest neighbours and their distance in Å.
Positions (direct):
Nd (0.0000, 0.0000, 0.0000)  8 Er 3.58-3.60, 4 Nd 3.58
Nd (0.3752, 0.8752, 0.5000)  6 Er 3.58, 4 Dy 3.58-3.59, 2 Nd 3.58
Nd (0.6248, 0.1248, 0.5000)  6 Er 3.58, 4 Dy 3.58-3.59, 2 Nd 3.58
Dy (0.2493, 0.2493, 0.0000)  4 Er 3.55-3.58, 4 Dy 3.58, 4 Nd 3.58-3.59
Dy (0.7507, 0.7507, 0.0000)  4 Er 3.55-3.58, 4 Dy 3.58, 4 Nd 3.58-3.59
Er (0.1263, 0.6263, 0.5000)  4 Dy 3.55-3.58, 6 Nd 3.58-3.60, 2 Er 3.60
Er (0.5000, 0.5000, 0.0000)  8 Nd 3.58, 4 Er 3.60
Er (0.8737, 0.3737, 0.5000)  4 Dy 3.55-3.58, 6 Nd 3.58-3.60, 2 Er 3.60

Calculated values
energy of formation: 21.8 meV per atom
electronic total energy: -37.021 eV per cell
E above lowest polymorph: 0.000 eV per atom